1.
Material: Cs4SnTe5
Method: DFT, PBE
State: optimized geometry

Computed properties:
Raw formation energy ... -602 meV/atom

Cell lengths 9.1911, 9.1911, 9.1911 Å; angles 100.39, 100.39, 129.74 degrees
Atoms (fractional coordinates):
Cs 0.0787 0.7005 0.7792
Cs 0.2995 0.0787 0.3783
Cs 0.7005 0.9213 0.6217
Cs 0.9213 0.2995 0.2208
Sn 0.3890 0.3890 0.0000
Te 0.0361 0.0361 0.0000
Te 0.2805 0.4316 0.7069
Te 0.4316 0.7246 0.1511
Te 0.5735 0.2805 0.8489
Te 0.7246 0.5735 0.2931

***

2.
Material: Dy2Si4Tc3
Method: DFT, PBE
State: optimized geometry

Computed properties:
Raw formation energy ... -435 meV/atom
Energy relative to the lowest polymorph listed for this composition ... 299 meV per atom

Cell lengths 7.7597, 6.7351, 5.4398 Å; angles 78.40, 58.23, 43.37 degrees
Atoms (fractional coordinates):
Dy 0.1383 0.1383 0.8617
Dy 0.8617 0.8617 0.1383
Si 0.1598 0.5189 0.4811
Si 0.4811 0.8402 0.1598
Si 0.5189 0.1598 0.8402
Si 0.8402 0.4811 0.5189
Tc 0.0000 0.0000 0.5000
Tc 0.5000 0.5000 0.0000
Tc 0.5000 0.5000 0.5000

***

3.
Material: TlAgPb3
Method: DFT, PBE
State: optimized geometry

Computed properties:
Energy relative to the lowest polymorph listed for this composition ... 0 meV per atom
Formation energy ... 0.3056 eV/atom

Cell lengths 5.5719, 5.5719, 5.5719 Å; angles 90.00, 90.00, 90.00 degrees
Atoms (fractional coordinates):
Tl 0.0000 0.0000 0.0000
Ag 0.5000 0.5000 0.5000
Pb 0.0000 0.5000 0.5000
Pb 0.5000 0.0000 0.5000
Pb 0.5000 0.5000 0.0000

***

4.
Material: Np2MnTc
Method: DFT, PBE
State: optimized geometry

Computed properties:
Energy relative to the lowest polymorph listed for this composition ... 77 meV per atom
Formation energy ... 0.3422 eV/atom

Cell lengths 3.3523, 3.3523, 6.0013 Å; angles 90.00, 90.00, 90.00 degrees
Atoms (fractional coordinates):
Np 0.0000 0.0000 0.2043
Np 0.0000 0.0000 0.7957
Mn 0.5000 0.5000 0.0000
Tc 0.5000 0.5000 0.5000

***

5.
Material: Li2HfGeO
Method: DFT, PBE
State: optimized geometry

Computed properties:
Raw formation energy ... -1417 meV/atom

Cell lengths 3.9386, 3.9386, 4.3165 Å; angles 90.00, 90.00, 90.00 degrees
Atoms (fractional coordinates):
Li 0.0000 0.5000 0.0000
Li 0.5000 0.0000 0.0000
Hf 0.0000 0.0000 0.5000
Ge 0.5000 0.5000 0.5000
O 0.0000 0.0000 0.0000

***

6.
Material: NdPd6Au6
Method: DFT, PBE
State: optimized geometry

Computed properties:
Formation energy ... -0.2843 eV/atom

Cell lengths 7.1214, 7.1214, 7.1214 Å; angles 134.72, 98.86, 98.19 degrees
Atoms (fractional coordinates):
Nd 0.0000 0.0000 0.0000
Pd 0.0000 0.0000 0.5000
Pd 0.0000 0.5000 0.0000
Pd 0.2303 0.5000 0.7303
Pd 0.5000 0.0000 0.0000
Pd 0.5000 0.5000 0.5000
Pd 0.7697 0.5000 0.2697
Au 0.1974 0.6974 0.5000
Au 0.3386 0.0000 0.3386
Au 0.3455 0.3455 0.0000
Au 0.6545 0.6545 0.0000
Au 0.6614 0.0000 0.6614
Au 0.8026 0.3026 0.5000

***

7.
Material: Pr2Nd2GaRh4
Method: DFT, PBE
State: optimized geometry

Computed properties:
Formation energy ... -0.3785 eV/atom

Cell lengths 6.5557, 6.5557, 6.5557 Å; angles 117.73, 117.73, 93.98 degrees
Atoms (fractional coordinates):
Pr 0.2500 0.7500 0.5000
Pr 0.7500 0.2500 0.5000
Nd 0.1827 0.1827 0.0000
Nd 0.8173 0.8173 0.0000
Ga 0.5000 0.5000 0.0000
Rh 0.2439 0.2439 0.4877
Rh 0.2439 0.7561 0.0000
Rh 0.7561 0.2439 0.0000
Rh 0.7561 0.7561 0.5123

***

8.
Material: MgCuReAu2
Method: DFT, PBE
State: optimized geometry

Computed properties:
Energy relative to the lowest polymorph listed for this composition ... 0 meV per atom
Formation energy ... 1.1359 eV/atom

Cell lengths 4.6921, 4.6921, 4.4142 Å; angles 90.00, 90.00, 90.00 degrees
Atoms (fractional coordinates):
Mg 0.0000 0.0000 0.0000
Cu 0.0000 0.0000 0.5000
Re 0.5000 0.5000 0.0000
Au 0.0000 0.5000 0.5000
Au 0.5000 0.0000 0.5000

***

It is found that the E_tot values, taken in the order of the records, are -2.915, -7.324, -2.963, -11.012, -6.089, -4.560, -6.104, -3.803 eV per atom.
It is found that the D(E_F) values, taken in the order of the records, are 9.59, 6.62, 2.20, 6.65, 0.25, 6.62, 7.44, 3.08 states/eV/f.u..